[1]
SrPa4Co3O12 (PBE with a Hubbard U, optimized geometry); total magnetization = 4.9 μB per formula unit; total DFT energy (no corrections) = -168.035 eV/f.u.
1.0
-4.150 4.150 4.150
4.150 -4.150 4.150
4.150 4.150 -4.150
Sr Pa Co O
1 4 3 12
Direct
0.000 0.000 0.000
0.000 0.000 0.500
0.000 0.500 0.000
0.500 0.000 0.000
0.500 0.500 0.500
0.000 0.500 0.500
0.500 0.000 0.500
0.500 0.500 0.000
0.128 0.831 0.298
0.169 0.298 0.467
0.169 0.702 0.872
0.298 0.128 0.831
0.298 0.467 0.169
0.467 0.169 0.298
0.533 0.831 0.702
0.702 0.533 0.831
0.702 0.872 0.169
0.831 0.298 0.128
0.831 0.702 0.533
0.872 0.169 0.702

=====

[2]
Sr2PaCo3O12 (PBE with a Hubbard U, optimized geometry); total magnetization = 6.0 μB per formula unit; total DFT energy (no corrections) = -115.940 eV/f.u.
1.0
3.477 2.007 5.046
-3.477 2.007 5.046
0.000 -4.014 5.046
Sr Pa Co O
2 1 3 12
Direct
0.108 0.108 0.108
0.892 0.892 0.892
0.500 0.500 0.500
0.000 0.500 0.500
0.500 0.000 0.500
0.500 0.500 0.000
0.071 0.639 0.639
0.236 0.236 0.625
0.236 0.625 0.236
0.361 0.361 0.929
0.361 0.929 0.361
0.375 0.764 0.764
0.625 0.236 0.236
0.639 0.071 0.639
0.639 0.639 0.071
0.764 0.375 0.764
0.764 0.764 0.375
0.929 0.361 0.361

=====

[3]
SrPaCoO5 (PBE with a Hubbard U, optimized geometry); total magnetization = 4.0 μB per formula unit; total DFT energy (no corrections) = -62.206 eV/f.u.
1.0
3.555 -4.904 0.000
3.555 4.904 0.000
-3.059 0.000 7.359
Sr Pa Co O
2 2 2 10
Direct
0.164 0.836 0.750
0.836 0.164 0.250
0.500 0.500 0.000
0.500 0.500 0.500
0.180 0.820 0.250
0.820 0.180 0.750
0.124 0.233 0.909
0.195 0.602 0.384
0.233 0.124 0.409
0.398 0.805 0.116
0.415 0.585 0.750
0.585 0.415 0.250
0.602 0.195 0.884
0.767 0.876 0.591
0.805 0.398 0.616
0.876 0.767 0.091

=====

[4]
SrPaCo2O8 (PBE with a Hubbard U, optimized geometry); total magnetization = 7.0 μB per formula unit; total DFT energy (no corrections) = -82.783 eV/f.u.
1.0
-3.632 3.632 3.260
3.632 -3.632 3.260
3.632 3.632 -3.260
Sr Pa Co O
1 1 2 8
Direct
0.000 0.000 0.000
0.250 0.750 0.500
0.500 0.500 0.000
0.750 0.250 0.500
0.332 0.133 0.801
0.332 0.531 0.199
0.399 0.064 0.335
0.469 0.668 0.801
0.729 0.064 0.665
0.867 0.668 0.199
0.936 0.271 0.335
0.936 0.601 0.665

=====

[5]
SrPaCo2O6 (PBE with a Hubbard U, optimized geometry); total magnetization = 7.0 μB per formula unit; total DFT energy (no corrections) = -72.713 eV/f.u.
1.0
2.807 1.621 5.269
-2.807 1.621 5.269
0.000 -3.241 5.269
Sr Pa Co O
1 1 2 6
Direct
0.000 0.000 0.000
0.500 0.500 0.500
0.313 0.313 0.313
0.687 0.687 0.687
0.092 0.460 0.673
0.327 0.908 0.540
0.460 0.673 0.092
0.540 0.327 0.908
0.673 0.092 0.460
0.908 0.540 0.327

=====

[6]
PaTaCoO6 (PBE with a Hubbard U, optimized geometry); total magnetization = 3.0 μB per formula unit; total DFT energy (no corrections) = -79.622 eV/f.u.
1.0
5.554 0.000 0.000
-2.777 4.810 0.000
0.000 0.000 8.816
Pa Ta Co O
2 2 2 12
Direct
0.333 0.667 0.250
0.667 0.333 0.750
0.333 0.667 0.750
0.667 0.333 0.250
0.000 0.000 0.000
0.000 0.000 0.500
0.025 0.358 0.631
0.025 0.666 0.869
0.334 0.358 0.869
0.334 0.975 0.631
0.358 0.025 0.131
0.358 0.334 0.369
0.642 0.666 0.631
0.642 0.975 0.869
0.666 0.025 0.369
0.666 0.642 0.131
0.975 0.334 0.131
0.975 0.642 0.369